# 1
Below is Li2BeCo after structural relaxation, with properties calculated at the PBE level.

It has space group Pmmm (No. 47), with a = 2.3657 Å, b = 4.1619 Å, c = 4.5474 Å, α = 90.00°, β = 90.00° and γ = 90.00°. The asymmetric unit holds Li at (0.0000, 0.0000, 0.2466), Be at (0.5000, 0.5000, 0.5000) and Co at (0.5000, 0.5000, 0.0000).

As for the total energy: -3.45 eV/atom. The calculated formation energy is 0.9 eV per formula unit. Its density is 3.0 g/cm3.

---

# 2
Below is LiBe2Co after structural relaxation, with properties calculated at the PBE level.

It has space group I-4m2 (No. 119), with a = 3.3268 Å, b = 3.3268 Å, c = 6.6759 Å, α = 90.00°, β = 90.00° and γ = 90.00°. The asymmetric unit holds Li at (0.0000, 0.0000, 0.0000), Be at (0.0000, 0.0000, 0.5000), Be at (0.0000, 0.5000, 0.7500) and Co at (0.0000, 0.5000, 0.2500).

As for the total energy: -4.04 eV/atom. The calculated formation energy is 0.3 eV per formula unit. Its density is 3.8 g/cm3.

---

# 3
Below is LiBeCo2 after structural relaxation, with properties calculated at the PBE level.

It has space group P4/mmm (No. 123), with a = 2.4209 Å, b = 2.4209 Å, c = 7.2338 Å, α = 90.00°, β = 90.00° and γ = 90.00°. The asymmetric unit holds Li at (0.0000, 0.0000, 0.0000), Be at (0.0000, 0.0000, 0.5000) and Co at (0.5000, 0.5000, 0.2875).

As for the total energy: -4.92 eV/atom. The calculated formation energy is 0.2 eV per formula unit. Its density is 5.2 g/cm3.

---

# 4
Below is LiBeCo2 after structural relaxation, with properties calculated at the PBE level.

It has space group Cm (No. 8), with a = 8.2235 Å, b = 2.4565 Å, c = 4.1444 Å, α = 90.00°, β = 101.92° and γ = 90.00°. The asymmetric unit holds Li at (0.0000, 0.0000, 0.0000), Be at (0.2431, 0.0000, 0.7668), Co at (0.0120, 0.5000, 0.5075) and Co at (0.2643, 0.5000, 0.2906).

As for the total energy: -4.89 eV/atom. The calculated formation energy is 0.3 eV per formula unit. Its density is 5.4 g/cm3.

---

# 5
Below is Li3BeCo after structural relaxation, with properties calculated at the PBE level.

It has space group Pm-3m (No. 221), with a = 4.2971 Å, b = 4.2971 Å, c = 4.2971 Å, α = 90.00°, β = 90.00° and γ = 90.00°. The asymmetric unit holds Li at (0.0000, 0.0000, 0.5000), Be at (0.0000, 0.0000, 0.0000) and Co at (0.5000, 0.5000, 0.5000).

As for the energy above the lowest structure with this stoichiometry: 0.000 eV/atom. As for the total energy: -2.41 eV/atom. The calculated formation energy is 4.5 eV per formula unit. Its density is 1.9 g/cm3.

---

# 6
Below is LiBeCo2 after structural relaxation, with properties calculated at the PBE level.

It has space group P2/m (No. 10), with a = 2.3694 Å, b = 3.8220 Å, c = 4.5207 Å, α = 90.00°, β = 98.03° and γ = 90.00°. The asymmetric unit holds Li at (0.0000, 0.0000, 0.0000), Be at (0.5000, 0.0000, 0.5000) and Co at (0.2574, 0.5000, 0.7406).

As for the total energy: -4.88 eV/atom. The calculated formation energy is 0.3 eV per formula unit. Its density is 5.5 g/cm3.

---

# 7
Below is Li2BeCo after structural relaxation, with properties calculated at the PBE level.

It has space group I4/mmm (No. 139), with a = 3.2241 Å, b = 3.2241 Å, c = 8.2836 Å, α = 90.00°, β = 90.00° and γ = 90.00°. The asymmetric unit holds Li at (0.0000, 0.5000, 0.2500), Be at (0.0000, 0.0000, 0.0000) and Co at (0.0000, 0.0000, 0.5000).

As for the total energy: -3.49 eV/atom. The calculated formation energy is 0.7 eV per formula unit. Its density is 3.2 g/cm3.

---

# 8
Below is LiBe2Co after structural relaxation, with properties calculated at the PBE level.

It has space group Pmm2 (No. 25), with a = 2.3066 Å, b = 3.5696 Å, c = 4.7031 Å, α = 90.00°, β = 90.00° and γ = 90.00°. The asymmetric unit holds Li at (0.0000, 0.0000, 0.0000), Be at (0.0000, 0.0000, 0.5057), Be at (0.5000, 0.5000, 0.2624) and Co at (0.5000, 0.5000, 0.7246).

As for the total energy: -4.02 eV/atom. The calculated formation energy is 0.4 eV per formula unit. Its density is 3.6 g/cm3.